# PBE with a Hubbard U SrReNiO6, optimized geometry
data_SrReNiO6
_chemical_formula_sum 'Sr2 Re2 Ni2 O12'
_symmetry_space_group_name_H-M 'C 1 2 1'
_symmetry_Int_Tables_number 5
_cell_length_a 5.2747
_cell_length_b 8.7784
_cell_length_c 5.3623
_cell_angle_alpha 90.00
_cell_angle_beta 92.22
_cell_angle_gamma 90.00
loop_
_symmetry_equiv_pos_as_xyz
'x,y,z'
'-x,y,-z'
'x+1/2,y+1/2,z'
'-x+1/2,y+1/2,-z'
loop_
_atom_site_label
_atom_site_type_symbol
_atom_site_fract_x
_atom_site_fract_y
_atom_site_fract_z
Sr1 Sr 0.0000 0.0000 0.0000
Re1 Re 0.0000 0.3387 0.5000
Ni1 Ni 0.0000 0.6772 0.5000
O1 O 0.1152 0.5136 0.6979
O2 O 0.1723 0.2124 0.7209
O3 O 0.1966 0.8261 0.6853
# DFT total energy: -123.5 eV per cell